No. 1
A plane-wave DFT calculation with PBE-GGA was carried out for KMg4Os after structural relaxation.

a b c (Å): 5.749 5.749 5.749
angles (deg): 60.00 60.00 60.00
Positions (direct):
K: 0.000 0.000 0.000
Mg: 0.131 0.623 0.623
Mg: 0.623 0.131 0.623
Mg: 0.623 0.623 0.131
Mg: 0.623 0.623 0.623
Os: 0.250 0.250 0.250

Final energy ... -2.411 eV/atom
Volume ... 134.3 Å³/f.u.
Total moment ... 1.5 μB/cell
Energy relative to the elements ... 0.71 eV/atom

=====

No. 2
A plane-wave DFT calculation with PBE-GGA was carried out for KMgOs2 after structural relaxation.

a b c (Å): 2.812 3.827 8.466
angles (deg): 90.00 90.00 90.00
Positions (direct):
K: 0.000 0.000 0.000
Mg: 0.500 0.500 0.369
Os: 0.000 0.000 0.577
Os: 0.500 0.500 0.691

Final energy ... -5.792 eV/atom
Volume ... 91.1 Å³/f.u.
Total moment ... 0.0 μB/cell
Energy relative to the elements ... 0.50 eV/atom

=====

No. 3
A plane-wave DFT calculation with PBE-GGA was carried out for KMgOs3 after structural relaxation.

a b c (Å): 4.716 4.716 4.716
angles (deg): 90.00 90.00 90.00
Positions (direct):
K: 0.000 0.000 0.000
Mg: 0.500 0.500 0.500
Os: 0.000 0.500 0.500
Os: 0.500 0.000 0.500
Os: 0.500 0.500 0.000

Final energy ... -4.757 eV/atom
Volume ... 104.9 Å³/f.u.
Total moment ... 2.7 μB/cell
Energy relative to the elements ... 2.52 eV/atom

=====

No. 4
A plane-wave DFT calculation with PBE-GGA was carried out for KMg2Os after structural relaxation.

a b c (Å): 10.949 10.949 10.949
angles (deg): 15.95 15.95 15.95
Positions (direct):
K: 0.000 0.000 0.000
Mg: 0.232 0.232 0.232
Mg: 0.768 0.768 0.768
Os: 0.500 0.500 0.500

Final energy ... -3.339 eV/atom
Volume ... 86.3 Å³/f.u.
Total moment ... 0.0 μB/cell
Energy relative to the elements ... 0.54 eV/atom

=====

No. 5
A plane-wave DFT calculation with PBE-GGA was carried out for K2MgOs after structural relaxation.

a b c (Å): 2.870 4.386 10.026
angles (deg): 90.00 90.00 90.00
Positions (direct):
K: 0.000 0.000 0.000
K: 0.500 0.500 0.419
Mg: 0.000 0.000 0.678
Os: 0.500 0.500 0.753

Final energy ... -3.031 eV/atom
Volume ... 126.2 Å³/f.u.
Total moment ... 0.0 μB/cell
Energy relative to the elements ... 0.72 eV/atom

=====

No. 6
A plane-wave DFT calculation with PBE-GGA was carried out for KMg2Os after structural relaxation.

a b c (Å): 3.289 3.289 9.150
angles (deg): 90.00 90.00 90.00
Positions (direct):
K: 0.000 0.000 0.000
Mg: 0.500 0.500 0.344
Mg: 0.500 0.500 0.656
Os: 0.000 0.000 0.500

Final energy ... -3.438 eV/atom
Volume ... 99.0 Å³/f.u.
Total moment ... 0.2 μB/cell
Energy relative to the elements ... 0.44 eV/atom

=====

No. 7
A plane-wave DFT calculation with PBE-GGA was carried out for KMg2Os after structural relaxation.

a b c (Å): 8.761 8.761 8.761
angles (deg): 161.35 149.12 36.32
Positions (direct):
K: 0.000 0.000 0.000
Mg: 0.317 0.817 0.500
Mg: 0.679 0.679 0.000
Os: 0.815 0.315 0.500

Final energy ... -3.391 eV/atom
Volume ... 110.2 Å³/f.u.
Total moment ... 0.0 μB/cell
Energy relative to the elements ... 0.49 eV/atom

=====

No. 8
A plane-wave DFT calculation with PBE-GGA was carried out for KMg2Os after structural relaxation.

a b c (Å): 9.502 9.502 9.502
angles (deg): 144.63 144.63 50.89
Positions (direct):
K: 0.000 0.000 0.000
K: 0.750 0.250 0.500
Mg: 0.363 0.625 0.238
Mg: 0.375 0.613 0.738
Mg: 0.387 0.125 0.762
Mg: 0.875 0.637 0.262
Os: 0.250 0.750 0.500
Os: 0.500 0.500 0.000

Final energy ... -2.841 eV/atom
Volume ... 143.0 Å³/f.u.
Total moment ... 1.8 μB/cell
Energy relative to the elements ... 1.04 eV/atom

=====

No. 9
A plane-wave DFT calculation with PBE-GGA was carried out for K2MgOs after structural relaxation.

a b c (Å): 2.857 4.423 10.099
angles (deg): 90.00 97.78 90.00
Positions (direct):
K: 0.000 0.000 0.000
K: 0.411 0.500 0.579
Mg: 0.348 0.500 0.257
Os: 0.869 0.000 0.329

Final energy ... -3.032 eV/atom
Volume ... 126.4 Å³/f.u.
Total moment ... 0.0 μB/cell
Energy relative to the elements ... 0.72 eV/atom

=====

No. 10
A plane-wave DFT calculation with PBE-GGA was carried out for K2MgOs after structural relaxation.

a b c (Å): 6.496 6.496 2.858
angles (deg): 90.00 90.00 125.08
Positions (direct):
K: 0.000 0.500 0.000
K: 0.500 0.000 0.000
Mg: 0.000 0.000 0.500
Os: 0.500 0.500 0.500

Final energy ... -2.634 eV/atom
Volume ... 98.7 Å³/f.u.
Total moment ... 0.0 μB/cell
Energy relative to the elements ... 1.12 eV/atom

=====

No. 11
A plane-wave DFT calculation with PBE-GGA was carried out for KMgOs2 after structural relaxation.

a b c (Å): 2.661 4.546 7.226
angles (deg): 90.00 90.00 90.00
Positions (direct):
K: 0.000 0.000 0.000
Mg: 0.000 0.000 0.500
Os: 0.500 0.500 0.338
Os: 0.500 0.500 0.662

Final energy ... -5.443 eV/atom
Volume ... 87.4 Å³/f.u.
Total moment ... 0.2 μB/cell
Energy relative to the elements ... 0.85 eV/atom

=====

No. 12
A plane-wave DFT calculation with PBE-GGA was carried out for KMg2Os after structural relaxation.

a b c (Å): 4.933 4.933 7.932
angles (deg): 92.98 92.98 33.13
Positions (direct):
K: 0.000 0.000 0.000
Mg: 0.515 0.515 0.592
Mg: 0.768 0.768 0.386
Os: 0.252 0.252 0.677

Final energy ... -3.310 eV/atom
Volume ... 105.4 Å³/f.u.
Total moment ... 0.0 μB/cell
Energy relative to the elements ... 0.57 eV/atom